# 1
Al2SbPtF | PBEsol | optimized geometry

Computed properties:
The energy relative to the elements, uncorrected comes out at -0.261 eV per atom. The spin magnetization comes out at 0.00 Bohr magnetons per cell.

Cell lengths 4.8384, 4.8384, 4.1874 Å; angles 90.00, 90.00, 90.00 degrees
With the nearest neighbours (Å) after each atom.
Positions (direct):
Al 0.0000 0.5000 0.0000  2 Pt 2.42
Al 0.5000 0.0000 0.0000  2 Pt 2.42
Sb 0.0000 0.0000 0.5000  8 Al 3.20, 4 F 3.42
Pt 0.5000 0.5000 0.0000  2 F 2.09
F 0.5000 0.5000 0.5000  2 Pt 2.09



# 2
Rb3AlF6 | PBEsol | optimized geometry

Computed properties:
The energy relative to the elements, uncorrected comes out at -3.166 eV per atom. The spin magnetization comes out at 0.01 Bohr magnetons per cell.

Cell lengths 6.2540, 6.2540, 6.2540 Å; angles 60.00, 60.00, 60.00 degrees
With the nearest neighbours (Å) after each atom.
Positions (direct):
Rb 0.0000 0.0000 0.0000  6 F 2.60
Rb 0.2500 0.2500 0.2500  12 F 3.15
Rb 0.7500 0.7500 0.7500  12 F 3.15
Al 0.5000 0.5000 0.5000  6 F 1.82
F 0.2941 0.2941 0.7059  1 Al 1.82
F 0.2941 0.7059 0.2941  1 Al 1.82
F 0.2941 0.7059 0.7059  1 Al 1.82
F 0.7059 0.2941 0.2941  1 Al 1.82
F 0.7059 0.2941 0.7059  1 Al 1.82
F 0.7059 0.7059 0.2941  1 Al 1.82



# 3
Rb2Tb3AlF16 | PBEsol | optimized geometry

Computed properties:
The energy relative to the elements, uncorrected comes out at -3.444 eV per atom. The spin magnetization comes out at 4.49 Bohr magnetons per cell.

Cell lengths 7.6547, 7.6547, 12.5771 Å; angles 90.00, 90.00, 120.00 degrees
With the nearest neighbours (Å) after each atom.
Positions (direct):
Rb 0.3333 0.6667 0.0673  9 F 3.04-3.18
Rb 0.3333 0.6667 0.4327  9 F 3.04-3.18
Rb 0.6667 0.3333 0.5673  9 F 3.04-3.18
Rb 0.6667 0.3333 0.9327  9 F 3.04-3.18
Tb 0.1687 0.3375 0.7500  9 F 2.24-2.34
Tb 0.1687 0.8313 0.7500  9 F 2.24-2.34
Tb 0.3375 0.1687 0.2500  9 F 2.24-2.34
Tb 0.6625 0.8313 0.7500  9 F 2.24-2.34
Tb 0.8313 0.1687 0.2500  9 F 2.24-2.34
Tb 0.8313 0.6625 0.2500  9 F 2.24-2.34
Al 0.0000 0.0000 0.0000  6 F 1.81
Al 0.0000 0.0000 0.5000  6 F 1.81
F 0.0000 0.0000 0.2500  3 Tb 2.24, 3 F 2.43
F 0.0000 0.0000 0.7500  3 Tb 2.24, 3 F 2.43
F 0.0993 0.5496 0.6530  2 Tb 2.30, 1 F 2.44
F 0.0993 0.5496 0.8470  2 Tb 2.30, 1 F 2.44
F 0.1132 0.2263 0.5801  1 Al 1.81
F 0.1132 0.2263 0.9199  1 Al 1.81
F 0.1132 0.8868 0.5801  1 Al 1.81
F 0.1132 0.8868 0.9199  1 Al 1.81
F 0.1834 0.3668 0.2500  2 Tb 2.34, 1 F 2.43
F 0.1834 0.8166 0.2500  2 Tb 2.34, 1 F 2.43
F 0.2263 0.1132 0.0801  1 Al 1.81
F 0.2263 0.1132 0.4199  1 Al 1.81
F 0.3668 0.1834 0.7500  2 Tb 2.34, 1 F 2.43
F 0.4504 0.5496 0.6530  2 Tb 2.30, 1 F 2.44
F 0.4504 0.5496 0.8470  2 Tb 2.30, 1 F 2.44
F 0.4504 0.9007 0.6530  2 Tb 2.30, 1 F 2.44
F 0.4504 0.9007 0.8470  2 Tb 2.30, 1 F 2.44
F 0.5496 0.0993 0.1530  2 Tb 2.30, 1 F 2.44
F 0.5496 0.0993 0.3470  2 Tb 2.30, 1 F 2.44
F 0.5496 0.4504 0.1530  2 Tb 2.30, 1 F 2.44
F 0.5496 0.4504 0.3470  2 Tb 2.30, 1 F 2.44
F 0.6332 0.8166 0.2500  2 Tb 2.34, 1 F 2.43
F 0.7737 0.8868 0.5801  1 Al 1.81
F 0.7737 0.8868 0.9199  1 Al 1.81
F 0.8166 0.1834 0.7500  2 Tb 2.34, 1 F 2.43
F 0.8166 0.6332 0.7500  2 Tb 2.34, 1 F 2.43
F 0.8868 0.1132 0.0801  1 Al 1.81
F 0.8868 0.1132 0.4199  1 Al 1.81
F 0.8868 0.7737 0.0801  1 Al 1.81
F 0.8868 0.7737 0.4199  1 Al 1.81
F 0.9007 0.4504 0.1530  2 Tb 2.30, 1 F 2.44
F 0.9007 0.4504 0.3470  2 Tb 2.30, 1 F 2.44



# 4
Rb2AlTlF6 | PBEsol | optimized geometry

Computed properties:
The energy relative to the elements, uncorrected comes out at -2.939 eV per atom. The spin magnetization comes out at 0.00 Bohr magnetons per cell.

Cell lengths 6.2586, 6.2586, 6.2586 Å; angles 60.00, 60.00, 60.00 degrees
With the nearest neighbours (Å) after each atom.
Positions (direct):
Rb 0.2500 0.2500 0.2500  12 F 3.15
Rb 0.7500 0.7500 0.7500  12 F 3.15
Al 0.0000 0.0000 0.0000  6 F 1.82
Tl 0.5000 0.5000 0.5000  6 F 2.60
F 0.2059 0.2059 0.7941  1 Al 1.82
F 0.2059 0.7941 0.2059  1 Al 1.82
F 0.2059 0.7941 0.7941  1 Al 1.82
F 0.7941 0.2059 0.2059  1 Al 1.82
F 0.7941 0.2059 0.7941  1 Al 1.82
F 0.7941 0.7941 0.2059  1 Al 1.82



# 5
Al3RuF | PBEsol | optimized geometry

Computed properties:
The energy relative to the elements, uncorrected comes out at -0.350 eV per atom. The spin magnetization comes out at 0.00 Bohr magnetons per cell.

Cell lengths 4.6370, 4.6370, 4.6370 Å; angles 90.00, 90.00, 90.00 degrees
With the nearest neighbours (Å) after each atom.
Positions (direct):
Al 0.0000 0.0000 0.5000  2 Ru 2.32
Al 0.0000 0.5000 0.0000  2 Ru 2.32
Al 0.5000 0.0000 0.0000  2 Ru 2.32
Ru 0.0000 0.0000 0.0000  6 Al 2.32
F 0.5000 0.5000 0.5000  12 Al 3.28



# 6
ScAl2RuF | PBEsol | optimized geometry

Computed properties:
The energy relative to the elements, uncorrected comes out at 0.925 eV per atom. The spin magnetization comes out at 0.00 Bohr magnetons per cell.

Cell lengths 5.3838, 5.3838, 4.2889 Å; angles 90.00, 90.00, 90.00 degrees
With the nearest neighbours (Å) after each atom.
Positions (direct):
Sc 0.0000 0.0000 0.0000  2 Ru 2.14
Al 0.0000 0.5000 0.0000  2 Sc 2.69
Al 0.5000 0.0000 0.0000  2 Sc 2.69
Ru 0.0000 0.0000 0.5000  2 Sc 2.14
F 0.5000 0.5000 0.5000  8 Al 3.44, 4 Ru 3.81



# 7
Al2SF | PBEsol | optimized geometry

Computed properties:
The energy relative to the elements, uncorrected comes out at -0.916 eV per atom. The spin magnetization comes out at 0.00 Bohr magnetons per cell.

Cell lengths 7.5959, 7.5959, 7.5959 Å; angles 146.56, 146.56, 48.02 degrees
With the nearest neighbours (Å) after each atom.
Positions (direct):
Al 0.0483 0.6250 0.9233  2 F 2.19
Al 0.3750 0.2983 0.4233  2 F 2.19
Al 0.7017 0.1250 0.0767  2 F 2.19
Al 0.8750 0.9517 0.5767  2 F 2.19
S 0.2500 0.7500 0.5000  4 Al 2.50
S 0.5000 0.5000 0.0000  4 Al 2.50
F 0.0000 0.0000 0.0000  4 Al 2.19
F 0.7500 0.2500 0.5000  4 Al 2.19



# 8
AlSF2 | PBEsol | optimized geometry

Computed properties:
The energy relative to the elements, uncorrected comes out at -1.151 eV per atom. The spin magnetization comes out at 0.49 Bohr magnetons per cell.

Cell lengths 9.4268, 9.4268, 9.4268 Å; angles 17.21, 17.21, 17.21 degrees
With the nearest neighbours (Å) after each atom.
Positions (direct):
Al 0.0000 0.0000 0.0000  2 F 1.66
S 0.5000 0.5000 0.5000  6 S 2.82
F 0.0597 0.0597 0.0597  1 Al 1.66
F 0.9403 0.9403 0.9403  1 Al 1.66



# 9
Ta2AlSF | PBEsol | optimized geometry

Computed properties:
The energy relative to the elements, uncorrected comes out at 0.162 eV per atom. The spin magnetization comes out at 0.00 Bohr magnetons per cell.

Cell lengths 4.5949, 4.5949, 4.0832 Å; angles 90.00, 90.00, 90.00 degrees
With the nearest neighbours (Å) after each atom.
Positions (direct):
Ta 0.0000 0.5000 0.0000  2 S 2.30
Ta 0.5000 0.0000 0.0000  2 S 2.30
Al 0.0000 0.0000 0.5000  8 Ta 3.07, 4 F 3.25
S 0.5000 0.5000 0.0000  2 F 2.04
F 0.5000 0.5000 0.5000  2 S 2.04



# 10
AlSbF2 | PBEsol | optimized geometry

Computed properties:
The energy relative to the elements, uncorrected comes out at -1.484 eV per atom. The spin magnetization comes out at 0.00 Bohr magnetons per cell.

Cell lengths 8.5802, 8.5802, 8.5802 Å; angles 20.57, 20.57, 20.57 degrees
With the nearest neighbours (Å) after each atom.
Positions (direct):
Al 0.0000 0.0000 0.0000  2 F 1.73
Sb 0.5000 0.5000 0.5000  6 F 3.04, 6 Sb 3.06
F 0.0687 0.0687 0.0687  1 Al 1.73
F 0.9313 0.9313 0.9313  1 Al 1.73



Number 1: calculated density 6.60 Mg/m³. Number 2: calculated density 3.81 Mg/m³. Number 3: calculated density 5.09 Mg/m³. Number 4: calculated density 4.95 Mg/m³. Number 5: calculated density 3.35 Mg/m³. Number 6: calculated density 2.93 Mg/m³. Number 7: calculated density 2.63 Mg/m³. Number 8: calculated density 2.52 Mg/m³. Number 9: calculated density 8.47 Mg/m³. Number 10: calculated density 4.54 Mg/m³.